Computed, not measured: a relaxed Ba2ZrAl crystal at the PBE-GGA level of DFT.

Properties
V: 33.92 Å³ per atom
total magnetization: 0.00 μB per formula unit
formation enthalpy at 0 K: 173 kJ/mol of formula units
density: 4.808 g/cm³

Structure (CIF):
```
data_Ba2ZrAl
_chemical_formula_sum 'Ba2 Zr1 Al1'
_space_group_name_H-M_alt 'P 4/m m m'
_space_group_IT_number 123
_space_group_name_Hall '-P 4 2'
_cell_length_a 3.560
_cell_length_b 3.560
_cell_length_c 10.707
_cell_angle_alpha 90.00
_cell_angle_beta 90.00
_cell_angle_gamma 90.00
loop_
_atom_site_label
_atom_site_fract_x
_atom_site_fract_y
_atom_site_fract_z
_atom_site_occupancy
Ba1 0.000 0.000 0.233 1
Zr1 0.500 0.500 0.500 1
Al1 0.500 0.500 0.000 1
```